ReIr | PBE | relaxed

Values from the calculation:
Energy relative to the elements = 0.408 eV/atom
Energy above the lowest structure with this stoichiometry = 684.7 meV/atom
Calculated volume = 196.6 Å³ per cell

Cell: 3.5366 6.7123 8.2824 Å, 90.00 90.00 90.00°
With the nearest neighbours (Å) after each atom.
Space group Amm2 (No. 38)
One atom of each set of equivalent atoms:
Re1 0.0000 0.0000 0.0000 [2 per cell]  6 Ir 2.56-2.80, 4 Re 2.74
Re2 0.5000 0.1877 0.4996 [4 per cell]  3 Re 2.52-2.74, 4 Ir 2.61-2.80
Ir1 0.0000 0.1993 0.7347 [4 per cell]  4 Re 2.57-2.80, 3 Ir 2.68-2.69
Ir2 0.5000 0.0000 0.2235 [2 per cell]  6 Re 2.56-2.80, 4 Ir 2.69

ReIr | PBE | relaxed

Values from the calculation:
Energy relative to the elements = 0.587 eV/atom
Energy above the lowest structure with this stoichiometry = 863.2 meV/atom
Calculated volume = 30.3 Å³ per cell

Cell: 3.1180 3.1180 3.1180 Å, 90.00 90.00 90.00°
With the nearest neighbours (Å) after each atom.
Space group Pm-3m (No. 221)
One atom of each set of equivalent atoms:
Re1 0.0000 0.0000 0.0000 [1 per cell]  8 Ir 2.70
Ir1 0.5000 0.5000 0.5000 [1 per cell]  8 Re 2.70

ReIr | PBE | relaxed

Values from the calculation:
Energy relative to the elements = -0.070 eV/atom
Energy above the lowest structure with this stoichiometry = 206.5 meV/atom
Calculated volume = 88.1 Å³ per cell

Cell: 2.7351 2.7351 13.6052 Å, 90.00 90.00 120.00°
With the nearest neighbours (Å) after each atom.
Space group R-3m (No. 166, hexagonal axes)
One atom of each set of equivalent atoms:
Re1 0.0000 0.0000 0.0000 [3 per cell]  6 Re 2.74, 6 Ir 2.76
Ir1 0.0000 0.0000 0.5000 [3 per cell]  6 Ir 2.74, 6 Re 2.76

Re3Ir4 | PBE | relaxed

Values from the calculation:
Energy relative to the elements = 0.263 eV/atom
Energy above the lowest structure with this stoichiometry = 0.0 meV/atom
Calculated volume = 210.9 Å³ per cell

Cell: 3.3101 3.3101 19.2448 Å, 90.00 90.00 90.00°
With the nearest neighbours (Å) after each atom.
Space group I4/mmm (No. 139)
One atom of each set of equivalent atoms:
Re1 0.0000 0.0000 0.0000 [2 per cell]  10 Ir 2.72-2.75
Re2 0.0000 0.0000 0.2891 [4 per cell]  6 Ir 2.67-2.81, 4 Re 2.78
Ir1 0.0000 0.0000 0.1429 [4 per cell]  6 Re 2.68-2.81, 4 Ir 2.71
Ir2 0.0000 0.0000 0.4278 [4 per cell]  5 Re 2.67-2.72, 5 Ir 2.71-2.78

ReIr | PBE | relaxed

Values from the calculation:
Energy relative to the elements = 1.378 eV/atom
Energy above the lowest structure with this stoichiometry = 1654.5 meV/atom
Calculated volume = 443.5 Å³ per cell

Cell: 7.6262 7.6262 7.6262 Å, 90.00 90.00 90.00°
With the nearest neighbours (Å) after each atom.
Space group I-43m (No. 217)
One atom of each set of equivalent atoms:
Re1 0.1464 0.1464 0.1464 [8 per cell]  4 Ir 2.38-2.45
Ir1 0.1732 0.1732 0.8268 [8 per cell]  4 Re 2.38-2.45

ReIr5 | PBE | relaxed

Values from the calculation:
Energy relative to the elements = -0.076 eV/atom
Energy above the lowest structure with this stoichiometry = 30.9 meV/atom
Calculated volume = 175.0 Å³ per cell

Cell: 4.4226 2.7576 14.3455 Å, 90.00 90.00 90.00°
With the nearest neighbours (Å) after each atom.
Space group Amm2 (No. 38)
One atom of each set of equivalent atoms:
Re1 0.0000 0.0000 0.0000 [2 per cell]  10 Ir 2.71-2.74, 2 Re 2.76
Ir1 0.0000 0.0000 0.3350 [2 per cell]  10 Ir 2.71-2.83, 2 Re 2.74
Ir2 0.0000 0.0000 0.6630 [2 per cell]  10 Ir 2.71-2.83, 2 Re 2.71
Ir3 0.5000 0.0000 0.1111 [2 per cell]  10 Ir 2.71-2.77, 2 Re 2.73
Ir4 0.5000 0.0000 0.4439 [2 per cell]  8 Ir 2.71-2.77, 4 Re 2.73
Ir5 0.5000 0.0000 0.7768 [2 per cell]  12 Ir 2.74-2.77

ReIr2 | PBE | relaxed

Values from the calculation:
Energy relative to the elements = -0.194 eV/atom
Energy above the lowest structure with this stoichiometry = 37.3 meV/atom
Calculated volume = 174.9 Å³ per cell

Cell: 4.7792 4.3945 8.3276 Å, 90.00 90.00 90.00°
With the nearest neighbours (Å) after each atom.
Space group Pnma (No. 62)
One atom of each set of equivalent atoms:
Re1 0.1713 0.2500 0.1657 [4 per cell]  10 Ir 2.71-2.77, 2 Re 2.77
Ir1 0.1626 0.2500 0.8337 [4 per cell]  7 Ir 2.71-2.80, 5 Re 2.72-2.76
Ir2 0.1692 0.2500 0.4979 [4 per cell]  7 Ir 2.71-2.80, 5 Re 2.71-2.77

ReIr5 | PBE | relaxed

Values from the calculation:
Energy relative to the elements = -0.107 eV/atom
Energy above the lowest structure with this stoichiometry = 0.0 meV/atom
Calculated volume = 174.8 Å³ per cell

Cell: 3.8706 11.6203 3.8864 Å, 90.00 90.00 90.00°
With the nearest neighbours (Å) after each atom.
Space group Cmmm (No. 65)
One atom of each set of equivalent atoms:
Re1 0.0000 0.0000 0.0000 [2 per cell]  12 Ir 2.69-2.74
Ir1 0.0000 0.1654 0.5000 [4 per cell]  10 Ir 2.73-2.80, 2 Re 2.73
Ir2 0.0000 0.3392 0.0000 [4 per cell]  2 Re 2.69, 10 Ir 2.70-2.84
Ir3 0.0000 0.5000 0.5000 [2 per cell]  8 Ir 2.70-2.73, 4 Re 2.74

Number 1: Fermi-level density of states 9.14 states/eV/cell. Number 2: Fermi-level density of states 3.00 states/eV/cell. Number 3: Fermi-level density of states 6.87 states/eV/cell. Number 4: Fermi-level density of states 12.42 states/eV/cell. Number 5: Fermi-level density of states 16.41 states/eV/cell. Number 6: Fermi-level density of states 11.17 states/eV/cell. Number 7: Fermi-level density of states 10.97 states/eV/cell. Number 8: Fermi-level density of states 7.40 states/eV/cell.